No. 1
CaCu2Br | PBE | relaxed

## Properties
energy above the lowest structure with this stoichiometry: 0 meV per atom
total energy: -13.68 eV for the cell shown
DOS at the Fermi energy: 0.58 states/eV/cell

abc: 7.1662 7.1662 7.1662
angles: 33.63 33.63 33.63
Atoms (fractional coordinates):
Ca  0.7351  0.7351  0.7351
Br  0.4856  0.4856  0.4856
Cu  0.9734  0.9734  0.9734
Cu  0.3060  0.3060  0.3060



No. 2
Dy2BiRh | PBE | relaxed

## Properties
energy above the lowest structure with this stoichiometry: 0 meV per atom
formation energy: -3.23 eV per formula unit
total energy: -47.34 eV for the cell shown
DOS at the Fermi energy: 1.74 states/eV/cell

abc: 4.2846 6.2682 8.2159
angles: 111.11 90.00 90.00
Atoms (fractional coordinates):
Bi  0.2500  0.8933  0.2072
Bi  0.7500  0.1067  0.7928
Rh  0.7500  0.6175  0.2931
Rh  0.2500  0.3825  0.7069
Dy  0.2500  0.7420  0.5467
Dy  0.2500  0.3400  0.1048
Dy  0.7500  0.6600  0.8952
Dy  0.7500  0.2580  0.4533



No. 3
LiMgNbTc | PBE | relaxed

## Properties
energy above the lowest structure with this stoichiometry: 140 meV per atom
formation energy: 0.94 eV per formula unit
total energy: -46.01 eV for the cell shown
DOS at the Fermi energy: 6.44 states/eV/cell

abc: 4.8161 3.4296 8.9601
angles: 90.00 115.49 90.00
Atoms (fractional coordinates):
Tc  0.6199  0.5000  0.5294
Tc  0.6199  0.0000  0.0294
Li  0.1110  0.5000  0.0184
Li  0.1110  0.0000  0.5184
Mg  0.2955  0.5000  0.7579
Mg  0.2955  0.0000  0.2579
Nb  0.7933  0.0000  0.7553
Nb  0.7933  0.5000  0.2553



No. 4
KTl2Fe2 | PBE | relaxed

## Properties
energy above the lowest structure with this stoichiometry: 0 meV per atom
formation energy: 2.60 eV per formula unit
total energy: -40.31 eV for the cell shown
DOS at the Fermi energy: 9.65 states/eV/cell

abc: 8.5213 8.5213 3.0052
angles: 90.00 90.00 90.00
Atoms (fractional coordinates):
Tl  0.3194  0.1806  0.5000
Tl  0.8194  0.3194  0.5000
Tl  0.1806  0.6806  0.5000
Tl  0.6806  0.8194  0.5000
K  0.0000  0.0000  0.0000
K  0.5000  0.5000  0.0000
Fe  0.6033  0.1033  0.0000
Fe  0.1033  0.3967  0.0000
Fe  0.8967  0.6033  0.0000
Fe  0.3967  0.8967  0.0000



No. 5
CaLaMn2 | PBE | relaxed

## Properties
formation energy: 1.58 eV per formula unit
total energy: -23.69 eV for the cell shown
DOS at the Fermi energy: 4.32 states/eV/cell

abc: 3.7207 3.6461 8.2773
angles: 63.93 90.00 90.00
Atoms (fractional coordinates):
La  0.5000  0.7500  0.7500
Mn  0.0000  0.0079  0.9929
Mn  0.0000  0.4921  0.5071
Ca  0.5000  0.2500  0.2500



No. 6
CeSm6Dy2Ho3 | PBE | relaxed

## Properties
formation energy: 0.45 eV per formula unit
total energy: -56.73 eV for the cell shown
DOS at the Fermi energy: 19.52 states/eV/cell

abc: 6.2110 6.2110 11.8496
angles: 95.02 95.02 120.01
Atoms (fractional coordinates):
Dy  0.6665  0.3335  0.0000
Dy  0.3335  0.6665  0.0000
Sm  0.0831  0.4146  0.2504
Sm  0.4146  0.0831  0.2504
Sm  0.7516  0.7516  0.2506
Sm  0.2484  0.2484  0.7494
Sm  0.5854  0.9169  0.7496
Sm  0.9169  0.5854  0.7496
Ce  0.0000  0.0000  0.0000
Ho  0.5000  0.5000  0.5000
Ho  0.8328  0.1672  0.5000
Ho  0.1672  0.8328  0.5000



No. 7
ScAlW | PBE | relaxed

## Properties
energy above the lowest structure with this stoichiometry: 204 meV per atom
formation energy: -0.07 eV per formula unit
total energy: -23.10 eV for the cell shown
DOS at the Fermi energy: 1.70 states/eV/cell

abc: 6.8856 6.8856 6.8856
angles: 156.31 156.31 33.75
Atoms (fractional coordinates):
W  0.6591  0.6591  0.0000
Sc  0.3324  0.3324  0.0000
Al  0.0085  0.0085  0.0000



No. 8
ZnHgRu2 | PBE | relaxed

## Properties
energy above the lowest structure with this stoichiometry: 289 meV per atom
formation energy: 1.72 eV per formula unit
total energy: -18.40 eV for the cell shown
DOS at the Fermi energy: 3.72 states/eV/cell

abc: 2.8142 2.8142 9.4467
angles: 90.00 90.00 118.80
Atoms (fractional coordinates):
Ru  0.0000  0.0000  0.0218
Ru  0.5000  0.5000  0.2475
Zn  0.0000  0.0000  0.4787
Hg  0.5000  0.5000  0.7520



No. 9
LiB4C4 | PBE | relaxed

## Properties
energy above the lowest structure with this stoichiometry: 152 meV per atom
formation energy: 2.17 eV per formula unit
total energy: -126.70 eV for the cell shown
DOS at the Fermi energy: 6.95 states/eV/cell

abc: 7.8666 7.8666 4.6879
angles: 90.00 90.00 140.25
Atoms (fractional coordinates):
C  0.3759  0.6241  0.6615
C  0.6250  0.8750  0.1600
C  0.1250  0.3750  0.1600
C  0.8741  0.1259  0.6615
C  0.8737  0.6237  0.8393
C  0.3763  0.1263  0.8393
C  0.1250  0.8750  0.3404
C  0.6250  0.3750  0.3346
B  0.1250  0.3750  0.8287
B  0.8772  0.1228  0.3310
B  0.8773  0.6273  0.1703
B  0.3727  0.1227  0.1703
B  0.6250  0.3750  0.6658
B  0.1250  0.8750  0.6713
B  0.6250  0.8750  0.8287
B  0.3728  0.6272  0.3310
Li  0.7501  0.2499  0.0030
Li  0.4999  0.5001  0.0030



No. 10
KCaAc2O5 | PBE | relaxed

## Properties
total energy: -118.42 eV for the cell shown
DOS at the Fermi energy: 13.57 states/eV/cell

abc: 7.2413 7.2413 8.2089
angles: 116.17 116.17 90.00
Atoms (fractional coordinates):
K  0.7500  0.7500  0.5000
K  0.2500  0.2500  0.5000
O  0.2651  0.7651  0.2407
O  0.7349  0.2349  0.7593
O  0.0243  0.5243  0.7593
O  0.0000  0.0000  0.0000
O  0.4757  0.2651  0.2407
O  0.5000  0.5000  0.0000
O  0.7651  0.9757  0.2407
O  0.9757  0.4757  0.2407
O  0.2349  0.0243  0.7593
O  0.5243  0.7349  0.7593
Ca  0.7500  0.2500  0.5000
Ca  0.2500  0.7500  0.5000
Ac  0.1721  0.3279  0.0000
Ac  0.3279  0.8279  0.0000
Ac  0.8279  0.6721  0.0000
Ac  0.6721  0.1721  0.0000



No. 11
CaPmCd6 | PBE | relaxed

## Properties
formation energy: -2.28 eV per formula unit
total energy: -14.53 eV for the cell shown
DOS at the Fermi energy: 3.76 states/eV/cell

abc: 4.9988 6.6434 6.6434
angles: 115.44 90.00 90.00
Atoms (fractional coordinates):
Cd  0.0000  0.6227  0.9425
Cd  0.5000  0.4396  0.1217
Cd  0.5000  0.9215  0.0785
Cd  0.0000  0.5808  0.4192
Cd  0.5000  0.8783  0.5604
Cd  0.0000  0.0575  0.3773
Ca  0.5000  0.3931  0.6069
Pm  0.0000  0.1062  0.8938



No. 12
ThMgFe2H8 | PBE | relaxed

## Properties
total energy: -51.74 eV for the cell shown
DOS at the Fermi energy: 4.34 states/eV/cell

abc: 4.5812 4.5812 6.9313
angles: 90.00 90.00 120.00
Atoms (fractional coordinates):
H  0.8606  0.7212  0.2210
H  0.1394  0.8606  0.7790
H  0.8606  0.1394  0.2210
H  0.6667  0.3333  0.4497
H  0.2788  0.1394  0.2210
H  0.1394  0.2788  0.7790
H  0.7212  0.8606  0.7790
H  0.3333  0.6667  0.5503
Mg  0.0000  0.0000  0.0000
Th  0.0000  0.0000  0.5000
Fe  0.6667  0.3333  0.2196
Fe  0.3333  0.6667  0.7804



No. 13
LaZrTa2 | PBE | relaxed

## Properties
energy above the lowest structure with this stoichiometry: 83 meV per atom
formation energy: 1.16 eV per formula unit
total energy: -36.03 eV for the cell shown
DOS at the Fermi energy: 6.97 states/eV/cell

abc: 3.0307 3.0307 10.5619
angles: 90.00 90.00 111.34
Atoms (fractional coordinates):
Zr  0.0000  0.0000  0.4628
Ta  0.0000  0.0000  0.0316
Ta  0.5000  0.5000  0.2368
La  0.5000  0.5000  0.7688



No. 14
K2ZnCo | PBE | relaxed

## Properties
formation energy: 3.71 eV per formula unit
total energy: -6.87 eV for the cell shown
DOS at the Fermi energy: 4.78 states/eV/cell

abc: 10.6218 10.6218 10.6218
angles: 22.00 22.00 22.00
Atoms (fractional coordinates):
K  0.0059  0.0059  0.0059
K  0.4941  0.4941  0.4941
Co  0.7500  0.7500  0.7500
Zn  0.2500  0.2500  0.2500



No. 15
Pm2Ho9Er3 | PBE | relaxed

## Properties
formation energy: 2.05 eV per formula unit
total energy: -62.34 eV for the cell shown
DOS at the Fermi energy: 20.58 states/eV/cell

abc: 5.2776 13.4581 8.8728
angles: 48.72 72.70 78.69
Atoms (fractional coordinates):
Ho  0.8004  0.9157  0.4835
Ho  0.6075  0.9220  0.8629
Ho  0.3925  0.0780  0.1371
Ho  0.8003  0.5845  0.8148
Ho  0.0000  0.5000  0.5000
Ho  0.1996  0.0843  0.5165
Ho  0.1997  0.4155  0.1852
Ho  0.6076  0.5775  0.2073
Ho  0.3924  0.4225  0.7927
Pm  0.5773  0.2495  0.5959
Pm  0.4227  0.7505  0.4041
Er  0.1936  0.7499  0.8628
Er  0.0000  0.0000  0.0000
Er  0.8064  0.2501  0.1372



No. 16
MnTl2Mo | PBE | relaxed

## Properties
energy above the lowest structure with this stoichiometry: 274 meV per atom
formation energy: 2.90 eV per formula unit
total energy: -21.84 eV for the cell shown
DOS at the Fermi energy: 2.64 states/eV/cell

abc: 5.0304 5.0304 5.4913
angles: 79.45 79.45 35.38
Atoms (fractional coordinates):
Tl  0.0007  0.0007  0.0012
Tl  0.4993  0.4993  0.4988
Mn  0.7500  0.7500  0.7500
Mo  0.2500  0.2500  0.2500



No. 17
Ba5Si2As6 | PBE | relaxed

## Properties
total energy: -117.56 eV for the cell shown
DOS at the Fermi energy: 3.08 states/eV/cell

abc: 4.2686 12.5931 15.3883
angles: 90.00 90.00 90.00
Atoms (fractional coordinates):
As  0.0000  0.5268  0.6121
As  0.0000  0.3319  0.8990
As  0.0000  0.8319  0.6010
As  0.5000  0.6837  0.8047
As  0.5000  0.1837  0.6953
As  0.5000  0.3163  0.1953
As  0.0000  0.1681  0.3990
As  0.5000  0.8163  0.3047
As  0.0000  0.0268  0.8879
As  0.0000  0.9732  0.1121
As  0.0000  0.6681  0.1010
As  0.0000  0.4732  0.3879
Si  0.0000  0.6801  0.7039
Si  0.0000  0.3199  0.2961
Si  0.0000  0.8199  0.2039
Si  0.0000  0.1801  0.7961
Ba  0.5000  0.0000  0.5000
Ba  0.5000  0.8354  0.9985
Ba  0.5000  0.6646  0.4985
Ba  0.5000  0.3354  0.5015
Ba  0.5000  0.5682  0.2477
Ba  0.5000  0.9318  0.7477
Ba  0.5000  0.5000  0.0000
Ba  0.5000  0.0682  0.2523
Ba  0.5000  0.4318  0.7523
Ba  0.5000  0.1646  0.0015



No. 18
OsCl | PBE | relaxed

## Properties
energy above the lowest structure with this stoichiometry: 258 meV per atom
total energy: -98.50 eV for the cell shown
DOS at the Fermi energy: 7.01 states/eV/cell

abc: 9.7670 9.7670 3.5852
angles: 90.00 90.00 90.00
Atoms (fractional coordinates):
Cl  0.3223  0.7060  0.5000
Cl  0.7060  0.6777  0.5000
Cl  0.2209  0.0215  0.0000
Cl  0.2940  0.3223  0.5000
Cl  0.7791  0.9785  0.0000
Cl  0.6777  0.2940  0.5000
Cl  0.0215  0.7791  0.0000
Cl  0.9785  0.2209  0.0000
Os  0.9108  0.3981  0.5000
Os  0.1151  0.4306  0.0000
Os  0.4306  0.8849  0.0000
Os  0.8849  0.5694  0.0000
Os  0.3981  0.0892  0.5000
Os  0.0892  0.6019  0.5000
Os  0.5694  0.1151  0.0000
Os  0.6019  0.9108  0.5000



No. 19
CaMn2Au | PBE | relaxed

## Properties
formation energy: 1.76 eV per formula unit
total energy: -43.71 eV for the cell shown
DOS at the Fermi energy: 6.07 states/eV/cell

abc: 4.2999 4.2999 10.0357
angles: 77.63 77.63 90.00
Atoms (fractional coordinates):
Ca  0.5000  0.5000  0.0000
Ca  0.2500  0.7500  0.5000
Mn  0.3750  0.1965  0.7500
Mn  0.8750  0.0535  0.7500
Mn  0.8035  0.1250  0.2500
Mn  0.9465  0.6250  0.2500
Au  0.0000  0.0000  0.0000
Au  0.7500  0.2500  0.5000



No. 20
SmSnHg | PBE | relaxed

## Properties
formation energy: -1.46 eV per formula unit
total energy: -20.97 eV for the cell shown
DOS at the Fermi energy: 3.86 states/eV/cell

abc: 4.6528 6.3408 6.3408
angles: 92.94 68.48 68.48
Atoms (fractional coordinates):
Sn  0.7882  0.2002  0.2234
Sn  0.2118  0.7766  0.7998
Hg  0.2980  0.0051  0.3988
Hg  0.7020  0.6012  0.9949
Sm  0.5000  0.2031  0.7969
Sm  0.0000  0.5933  0.4067



No. 21
NaAgBPt2 | PBE | relaxed

## Properties
energy above the lowest structure with this stoichiometry: 1355 meV per atom
formation energy: 5.77 eV per formula unit
total energy: -17.16 eV for the cell shown
DOS at the Fermi energy: 6.99 states/eV/cell

abc: 5.1107 4.0561 5.1107
angles: 90.00 90.00 90.00
Atoms (fractional coordinates):
Na  0.5000  0.5000  0.5000
Pt  0.5000  0.0000  0.0000
Pt  0.0000  0.0000  0.5000
Ag  0.0000  0.0000  0.0000
B  0.0000  0.5000  0.0000



No. 22
Ca2ReBr | PBE | relaxed

## Properties
energy above the lowest structure with this stoichiometry: 822 meV per atom
total energy: -15.18 eV for the cell shown
DOS at the Fermi energy: 2.07 states/eV/cell

abc: 5.1688 5.1688 5.1688
angles: 60.00 60.00 60.00
Atoms (fractional coordinates):
Ca  0.2500  0.2500  0.2500
Ca  0.0000  0.0000  0.0000
Re  0.7500  0.7500  0.7500
Br  0.5000  0.5000  0.5000



No. 23
ScCr3Si | PBE | relaxed

## Properties
energy above the lowest structure with this stoichiometry: 0 meV per atom
total energy: -37.59 eV for the cell shown
DOS at the Fermi energy: 4.20 states/eV/cell

abc: 4.4103 4.4103 4.4103
angles: 90.00 90.00 90.00
Atoms (fractional coordinates):
Sc  0.5000  0.5000  0.5000
Cr  0.5000  0.0000  0.0000
Cr  0.0000  0.5000  0.0000
Cr  0.0000  0.0000  0.5000
Si  0.0000  0.0000  0.0000